1.
VASP calculation (PBE-GGA) on a relaxed ZrC3I crystal.

Output
DOS(E_F) ... 0.977 states/eV/atom
Relative energy among the computed polymorphs ... 0.0 kJ per mole of atoms
SG ... No. 221
Uncorrected energy ... -5.174 eV/atom
ΔE_f (raw) ... 2.38 eV/atom

Cell: 4.4755 4.4755 4.4755 Å, 90.00 90.00 90.00°
Last column: nearest neighbours and their distance in Å.
Atoms (fractional coordinates):
Zr  0.0000  0.0000  0.0000  6 C 2.24
C  0.0000  0.0000  0.5000  2 Zr 2.24
C  0.0000  0.5000  0.0000  2 Zr 2.24
C  0.5000  0.0000  0.0000  2 Zr 2.24
I  0.5000  0.5000  0.5000  12 C 3.16


2.
VASP calculation (PBE-GGA) on a relaxed Sm2GaHg2 crystal.

Output
Formation energy from the elements ... -7.740 kcal/mol of atoms
DOS(E_F) ... 0.877 states/eV/atom
Relative energy among the computed polymorphs ... 13.2 kJ per mole of atoms
SG ... No. 12
Uncorrected energy ... -2.949 eV/atom

Cell: 5.6118 5.6118 6.1956 Å, 93.04 93.04 45.24°
Last column: nearest neighbours and their distance in Å.
Atoms (fractional coordinates):
Sm  0.1934  0.1934  0.2126  5 Hg 3.10-3.34, 2 Ga 3.18
Sm  0.8066  0.8066  0.7874  5 Hg 3.10-3.34, 2 Ga 3.18
Ga  0.5000  0.5000  0.0000  4 Hg 3.10, 4 Sm 3.18
Hg  0.0966  0.0966  0.6891  1 Hg 2.99, 2 Ga 3.10, 5 Sm 3.10-3.34
Hg  0.9034  0.9034  0.3109  1 Hg 2.99, 2 Ga 3.10, 5 Sm 3.10-3.34


3.
VASP calculation (PBE-GGA) on a relaxed YTl2N crystal.

Output
DOS(E_F) ... 0.495 states/eV/atom
Relative energy among the computed polymorphs ... 0.0 kJ per mole of atoms
SG ... No. 122
Uncorrected energy ... -4.825 eV/atom
ΔE_f (raw) ... 0.06 eV/atom

Cell: 7.0608 7.0608 7.0608 Å, 95.99 95.99 142.29°
Last column: nearest neighbours and their distance in Å.
Atoms (fractional coordinates):
Y  0.0000  0.0000  0.0000  2 N 2.28
Y  0.7500  0.2500  0.5000  2 N 2.28
Tl  0.2371  0.6250  0.1121  2 N 2.76
Tl  0.3750  0.4871  0.6121  2 N 2.76
Tl  0.5129  0.1250  0.8879  2 N 2.76
Tl  0.8750  0.7629  0.3879  2 N 2.76
N  0.2500  0.7500  0.5000  2 Y 2.28
N  0.5000  0.5000  0.0000  2 Y 2.28


4.
VASP calculation (PBE-GGA) on a relaxed LaTlIn2 crystal.

Output
Formation energy from the elements ... -5.664 kcal/mol of atoms
DOS(E_F) ... 0.853 states/eV/atom
SG ... No. 47
Uncorrected energy ... -3.438 eV/atom

Cell: 3.7152 4.2302 7.3565 Å, 90.00 90.00 90.00°
Last column: nearest neighbours and their distance in Å.
Atoms (fractional coordinates):
La  0.0000  0.0000  0.0000  8 In 3.48, 2 Tl 3.68, 2 La 3.72
Tl  0.0000  0.0000  0.5000  8 In 3.26
In  0.5000  0.5000  0.2772  4 Tl 3.26, 1 In 3.28, 4 La 3.48
In  0.5000  0.5000  0.7228  4 Tl 3.26, 1 In 3.28, 4 La 3.48


5.
VASP calculation (PBE-GGA) on a relaxed Tl5Zn2Pd12 crystal.

Output
Formation energy from the elements ... -2.746 kcal/mol of atoms
DOS(E_F) ... 0.458 states/eV/atom
SG ... No. 12
Uncorrected energy ... -4.156 eV/atom

Cell: 8.3920 8.3920 8.4583 Å, 94.77 94.77 38.77°
Last column: nearest neighbours and their distance in Å.
Atoms (fractional coordinates):
Tl  0.0000  0.0000  0.0000  6 Pd 2.77-2.92
Tl  0.2384  0.2384  0.2488  9 Pd 2.85-2.96
Tl  0.4041  0.4041  0.7784  5 Pd 2.77-2.83
Tl  0.5959  0.5959  0.2216  5 Pd 2.77-2.83
Tl  0.7616  0.7616  0.7512  9 Pd 2.85-2.96
Zn  0.2418  0.7582  0.5000  6 Pd 2.58-2.61, 2 Zn 2.69-2.88
Zn  0.7582  0.2418  0.5000  6 Pd 2.58-2.61, 2 Zn 2.69-2.88
Pd  0.0823  0.0823  0.7243  2 Zn 2.58, 6 Pd 2.76-2.79, 1 Tl 2.77
Pd  0.0853  0.5892  0.5049  1 Zn 2.58, 5 Pd 2.76-2.86, 2 Tl 2.83-2.85
Pd  0.0855  0.5912  0.0212  5 Pd 2.75-2.82, 4 Tl 2.77-2.96
Pd  0.4088  0.9145  0.9788  5 Pd 2.75-2.82, 4 Tl 2.77-2.96
Pd  0.4108  0.9147  0.4951  1 Zn 2.58, 5 Pd 2.76-2.86, 2 Tl 2.83-2.85
Pd  0.4237  0.4237  0.2725  2 Zn 2.61, 6 Pd 2.79-2.86, 2 Tl 2.80-2.92
Pd  0.5763  0.5763  0.7275  2 Zn 2.61, 6 Pd 2.79-2.86, 2 Tl 2.80-2.92
Pd  0.5892  0.0853  0.5049  1 Zn 2.58, 5 Pd 2.76-2.86, 2 Tl 2.83-2.85
Pd  0.5912  0.0855  0.0212  5 Pd 2.75-2.82, 4 Tl 2.77-2.96
Pd  0.9145  0.4088  0.9788  5 Pd 2.75-2.82, 4 Tl 2.77-2.96
Pd  0.9147  0.4108  0.4951  1 Zn 2.58, 5 Pd 2.76-2.86, 2 Tl 2.83-2.85
Pd  0.9177  0.9177  0.2757  2 Zn 2.58, 6 Pd 2.76-2.79, 1 Tl 2.77


6.
VASP calculation (PBE-GGA) on a relaxed KHgRh2 crystal.

Output
Formation energy from the elements ... 6.867 kcal/mol of atoms
DOS(E_F) ... 0.884 states/eV/atom
SG ... No. 8
Uncorrected energy ... -3.728 eV/atom

Cell: 4.5277 4.5277 7.5461 Å, 95.17 95.17 37.06°
Last column: nearest neighbours and their distance in Å.
Atoms (fractional coordinates):
K  0.0000  0.0000  0.0000  2 K 2.88
Hg  0.2349  0.2349  0.6599  2 Hg 2.88, 5 Rh 2.96-3.03
Rh  0.4990  0.4990  0.4201  3 Rh 2.42-2.56
Rh  0.7595  0.7595  0.3214  3 Rh 2.42-2.56


7.
VASP calculation (PBE-GGA) on a relaxed RbTl3Rh crystal.

Output
Formation energy from the elements ... 10.079 kcal/mol of atoms
DOS(E_F) ... 0.768 states/eV/atom
Relative energy among the computed polymorphs ... 48.3 kJ per mole of atoms
SG ... No. 119
Uncorrected energy ... -2.646 eV/atom

Cell: 13.7552 13.7552 13.7552 Å, 156.41 156.41 33.60°
Last column: nearest neighbours and their distance in Å.
Atoms (fractional coordinates):
Rb  0.0000  0.0000  0.0000  4 Tl 3.73
Rb  0.7500  0.2500  0.5000  8 Tl 3.37-3.43
Tl  0.3204  0.3204  0.0000  2 Rh 2.87
Tl  0.3751  0.1319  0.2433  2 Tl 2.74-2.89
Tl  0.6796  0.6796  0.0000  2 Rh 2.87
Tl  0.8681  0.1114  0.2433  2 Tl 2.74-2.89
Tl  0.8681  0.6249  0.7567  2 Tl 2.74-2.89
Tl  0.8886  0.1319  0.7567  2 Tl 2.74-2.89
Rh  0.2019  0.7019  0.5000  1 Rh 2.53
Rh  0.2981  0.7981  0.5000  1 Rh 2.53


8.
VASP calculation (PBE-GGA) on a relaxed RbScN2F crystal.

Output
DOS(E_F) ... 0.415 states/eV/atom
Relative energy among the computed polymorphs ... 0.0 kJ per mole of atoms
SG ... No. 123
Uncorrected energy ... -5.867 eV/atom
ΔE_f (raw) ... -0.70 eV/atom

Cell: 4.4263 4.4263 4.3016 Å, 90.00 90.00 90.00°
Last column: nearest neighbours and their distance in Å.
Atoms (fractional coordinates):
Rb  0.0000  0.0000  0.0000  8 N 3.09, 4 F 3.13
Sc  0.5000  0.5000  0.5000  2 F 2.15, 4 N 2.21
N  0.0000  0.5000  0.5000  2 Sc 2.21
N  0.5000  0.0000  0.5000  2 Sc 2.21
F  0.5000  0.5000  0.0000  2 Sc 2.15


- What is the formula in the second record?
  Sm2GaHg2


What did the seventh record say?
VASP calculation (PBE-GGA) on a relaxed RbTl3Rh crystal.

Output
Formation energy from the elements ... 10.079 kcal/mol of atoms
DOS(E_F) ... 0.768 states/eV/atom
Relative energy among the computed polymorphs ... 48.3 kJ per mole of atoms
SG ... No. 119
Uncorrected energy ... -2.646 eV/atom

Cell: 13.7552 13.7552 13.7552 Å, 156.41 156.41 33.60°
Last column: nearest neighbours and their distance in Å.
Atoms (fractional coordinates):
Rb  0.0000  0.0000  0.0000  4 Tl 3.73
Rb  0.7500  0.2500  0.5000  8 Tl 3.37-3.43
Tl  0.3204  0.3204  0.0000  2 Rh 2.87
Tl  0.3751  0.1319  0.2433  2 Tl 2.74-2.89
Tl  0.6796  0.6796  0.0000  2 Rh 2.87
Tl  0.8681  0.1114  0.2433  2 Tl 2.74-2.89
Tl  0.8681  0.6249  0.7567  2 Tl 2.74-2.89
Tl  0.8886  0.1319  0.7567  2 Tl 2.74-2.89
Rh  0.2019  0.7019  0.5000  1 Rh 2.53
Rh  0.2981  0.7981  0.5000  1 Rh 2.53